(1)
! Hg12Ge5Bi3, relaxed, DFT PBE; values from VASP
&SYSTEM
  ibrav = 0, nat = 80, ntyp = 3
/
ATOMIC_SPECIES
Bi 208.98 Bi.upf
Ge 72.64 Ge.upf
Hg 200.59 Hg.upf
CELL_PARAMETERS angstrom
14.524 0.000 0.000
-4.841 13.694 0.000
-4.841 -6.847 11.859
ATOMIC_POSITIONS angstrom
Bi 8.472 4.279 1.482
Bi 8.472 9.414 1.482
Bi -1.210 5.991 7.412
Bi 1.210 -0.856 4.447
Bi 10.893 0.000 2.965
Bi 1.210 6.847 2.965
Bi 3.631 0.000 8.894
Bi -6.052 6.847 8.894
Bi 3.631 7.703 7.412
Bi 6.052 0.856 4.447
Bi -3.631 -2.568 10.377
Bi -3.631 2.568 10.377
Ge -1.210 3.423 2.965
Ge -2.421 6.847 0.000
Ge 0.000 0.000 0.000
Ge 3.631 2.568 1.482
Ge 4.841 -3.423 5.929
Ge 4.841 6.847 0.000
Ge -3.631 7.703 4.447
Ge 6.052 -4.279 10.377
Ge 6.052 5.991 4.447
Ge 1.210 -3.423 8.894
Ge 3.631 10.270 2.965
Ge 2.421 3.423 5.929
Ge 7.262 0.000 0.000
Ge -2.421 -3.423 5.929
Ge -1.210 0.856 7.412
Ge -1.210 11.126 1.482
Ge -4.841 3.423 5.929
Ge 8.472 -0.856 7.412
Ge 1.210 4.279 10.377
Ge 6.052 3.423 8.894
Hg 9.632 1.332 0.481
Hg 0.050 4.506 5.017
Hg 10.708 3.292 3.369
Hg 6.237 2.152 1.394
Hg 1.955 5.180 8.009
Hg 10.292 6.700 2.079
Hg -1.025 7.987 4.763
Hg -3.816 11.542 1.394
Hg 0.466 8.514 8.009
Hg 6.652 6.993 2.079
Hg 7.313 3.672 4.535
Hg 7.313 12.362 0.481
Hg -4.376 6.102 6.411
Hg 3.030 5.119 1.166
Hg -4.892 10.021 4.535
Hg 2.471 -2.341 6.842
Hg -0.466 0.922 2.560
Hg 3.030 8.720 0.913
Hg 6.237 10.402 3.369
Hg -0.610 4.973 0.913
Hg -2.886 7.769 9.298
Hg 3.446 5.707 4.763
Hg 6.796 7.592 6.411
Hg 5.451 -1.727 10.693
Hg 1.396 1.140 7.096
Hg -1.955 -0.745 5.448
Hg -0.610 8.574 1.166
Hg -1.396 -3.555 8.490
Hg 7.728 -0.922 2.560
Hg 5.451 1.874 10.946
Hg 1.811 -1.874 10.946
Hg 2.370 9.187 5.017
Hg 5.307 5.924 9.298
Hg 9.733 -3.174 7.324
Hg 9.217 0.745 5.448
Hg -2.471 -5.515 11.378
Hg 1.811 1.727 10.693
Hg 4.376 -1.667 3.850
Hg -1.811 -0.146 9.780
Hg -2.471 3.174 7.324
Hg 8.658 -4.695 10.465
Hg 5.866 -1.140 7.096
Hg -1.396 4.695 10.465
Hg -5.451 0.146 9.780
Hg 2.886 1.667 3.850
Hg -5.866 3.555 8.490
Hg 4.791 2.341 6.842
Hg -4.791 5.515 11.378
! E, eV per atom: -1.703



(2)
! PuPaPdRh, relaxed, DFT PBE; values from VASP
&SYSTEM
  ibrav = 0, nat = 4, ntyp = 4
/
ATOMIC_SPECIES
Pa 231.04 Pa.upf
Rh 102.91 Rh.upf
Pd 106.42 Pd.upf
Pu 244.00 Pu.upf
CELL_PARAMETERS angstrom
4.711 0.000 0.000
2.356 4.080 0.000
2.356 1.360 3.847
ATOMIC_POSITIONS angstrom
Pa 2.356 1.360 0.962
Rh 0.000 0.000 0.000
Pd 7.067 4.080 2.885
Pu 4.711 2.720 1.923
! E, eV per atom: -9.741



(3)
! LiThHgBi, relaxed, DFT PBE; values from VASP
&SYSTEM
  ibrav = 0, nat = 4, ntyp = 4
/
ATOMIC_SPECIES
Li 6.94 Li.upf
Bi 208.98 Bi.upf
Th 232.04 Th.upf
Hg 200.59 Hg.upf
CELL_PARAMETERS angstrom
-2.647 1.231 4.453
2.451 -0.281 4.718
1.184 4.461 2.654
ATOMIC_POSITIONS angstrom
Li 0.000 0.000 0.000
Bi 0.741 4.059 8.869
Th 0.494 2.706 5.913
Hg 0.247 1.353 2.956
! E, eV per atom: -3.679